No. 1
Below is a geometry-optimized BeRe2Cl structure, with properties calculated at the PBE level.

Cell lengths 4.4352, 4.4352, 4.7380 Å; angles 73.36, 73.36, 38.78 degrees
Positions (direct):
1 Re 0.0027 0.0027 0.0183
2 Re 0.2355 0.2355 0.3378
3 Be 0.5089 0.5089 0.4061
4 Cl 0.7529 0.7529 0.7379

raw formation energy	279	kJ/mol of formula units
energy above the most stable polymorph in this dataset	612	meV/atom

---

No. 2
Below is a geometry-optimized Be2ReCl structure, with properties calculated at the PBE level.

Cell lengths 3.0097, 3.0097, 7.6002 Å; angles 104.17, 104.17, 56.34 degrees
Positions (direct):
1 Re 0.2500 0.2500 0.2500
2 Be 0.8481 0.8481 0.0191
3 Be 0.6519 0.6519 0.4809
4 Cl 0.7500 0.7500 0.7500

raw formation energy	25	kJ/mol of formula units
energy above the most stable polymorph in this dataset	0	meV/atom

---

Please write out number 2 again, unchanged.
Below is a geometry-optimized Be2ReCl structure, with properties calculated at the PBE level.

Cell lengths 3.0097, 3.0097, 7.6002 Å; angles 104.17, 104.17, 56.34 degrees
Positions (direct):
1 Re 0.2500 0.2500 0.2500
2 Be 0.8481 0.8481 0.0191
3 Be 0.6519 0.6519 0.4809
4 Cl 0.7500 0.7500 0.7500

raw formation energy	25	kJ/mol of formula units
energy above the most stable polymorph in this dataset	0	meV/atom

---

> Which of these has the highest raw formation energy?

BeRe2Cl

---

> Which value of raw formation energy does entry 1 give?

279 kJ/mol of formula units